[1]
The following is a PBE calculation of AlReAs2Br after structural relaxation, from the Alexandria database.

a b c (Å): 4.7542 4.7542 5.6355
angles (deg): 90.00 90.00 90.00
Sites, in units of the cell vectors:
As 0.0000 0.5000 0.0000
As 0.5000 0.0000 0.0000
Re 0.0000 0.0000 0.0000
Al 0.5000 0.5000 0.5000
Br 0.0000 0.0000 0.5000

Summary:
**Energy above the most stable polymorph in this dataset**: 0.00 eV per formula unit
**Energy relative to the elements, uncorrected**: 525.0 meV per atom
**SG**: P4/mmm, No. 123

---

[2]
The following is a PBE calculation of Ca3Mg2Zn2Hg4 after structural relaxation, from the Alexandria database.

a b c (Å): 4.7651 4.7651 14.1935
angles (deg): 90.00 90.00 120.00
Sites, in units of the cell vectors:
Ca 0.0000 0.0000 0.0000
Ca 0.0000 0.0000 0.7418
Ca 0.0000 0.0000 0.2582
Zn 0.3333 0.6667 0.1371
Zn 0.6667 0.3333 0.8629
Mg 0.3333 0.6667 0.5692
Mg 0.6667 0.3333 0.4308
Hg 0.3333 0.6667 0.8716
Hg 0.6667 0.3333 0.6328
Hg 0.6667 0.3333 0.1284
Hg 0.3333 0.6667 0.3672

Summary:
**ΔH_f (0 K)**: -31.53 kJ/mol of atoms
**SG**: P-3m1, No. 164

---

[3]
The following is a PBE calculation of HfBe2Hg after structural relaxation, from the Alexandria database.

a b c (Å): 6.8091 6.8091 5.5912
angles (deg): 52.49 52.49 90.00
Sites, in units of the cell vectors:
Be 0.8750 0.9012 0.7500
Be 0.6512 0.1250 0.2500
Be 0.3750 0.3488 0.7500
Be 0.0988 0.6250 0.2500
Hg 0.0000 0.0000 0.0000
Hg 0.7500 0.2500 0.5000
Hf 0.5000 0.5000 0.0000
Hf 0.2500 0.7500 0.5000

Summary:
**ΔH_f (0 K)**: 47.04 kJ/mol of atoms
**SG**: I-42d, No. 122

---

[4]
The following is a PBE calculation of Os2Br after structural relaxation, from the Alexandria database.

a b c (Å): 12.9338 12.9338 12.9338
angles (deg): 167.24 167.24 18.08
Sites, in units of the cell vectors:
Os 0.5864 0.5864 0.0000
Os 0.3364 0.8364 0.5000
Os 0.4136 0.4136 0.0000
Os 0.1636 0.6636 0.5000
Br 0.0000 0.0000 0.0000
Br 0.7500 0.2500 0.5000

Summary:
**Energy above the most stable polymorph in this dataset**: 2.76 eV per formula unit
**Energy relative to the elements, uncorrected**: 1459.9 meV per atom
**SG**: I4_1/amd, No. 141

---

[5]
The following is a PBE calculation of Ag2PtCl4 after structural relaxation, from the Alexandria database.

a b c (Å): 4.2005 6.5721 6.7682
angles (deg): 116.45 108.08 90.00
Sites, in units of the cell vectors:
Cl 0.3778 0.7461 0.7555
Cl 0.8887 0.1982 0.7775
Cl 0.1113 0.8018 0.2225
Cl 0.6222 0.2539 0.2445
Pt 0.0000 0.0000 0.0000
Ag 0.2825 0.2895 0.5651
Ag 0.7175 0.7105 0.4349

Summary:
**Energy above the most stable polymorph in this dataset**: 0.67 eV per formula unit
**Energy relative to the elements, uncorrected**: -243.7 meV per atom
**SG**: C2/m, No. 12

---

[6]
The following is a PBE calculation of LiLaEuSc after structural relaxation, from the Alexandria database.

a b c (Å): 5.5937 5.5937 5.5937
angles (deg): 60.00 60.00 60.00
Sites, in units of the cell vectors:
Eu 0.7500 0.7500 0.7500
Li 0.0000 0.0000 0.0000
Sc 0.5000 0.5000 0.5000
La 0.2500 0.2500 0.2500

Summary:
**ΔH_f (0 K)**: 19.50 kJ/mol of atoms
**SG**: F-43m, No. 216

---

Number 1: spin magnetization 0.00 μB per atom. Number 2: spin magnetization 0.00 μB per atom. Number 3: spin magnetization 0.00 μB per atom. Number 4: spin magnetization 0.00 μB per atom. Number 5: spin magnetization 0.00 μB per atom. Number 6: spin magnetization 1.83 μB per atom.